Ba2SbBr after structural relaxation, computed with PBE.

Unit cell a=6.9104 b=6.9104 c=5.4354 alpha=89.98 beta=89.98 gamma=38.40
Atoms (fractional coordinates):
Sb  0.2638  0.2638  0.1254
Ba  0.9906  0.9906  0.1247
Ba  0.7458  0.7458  0.6254
Br  0.4999  0.4999  0.6245

Uncorrected energy (eV per cell): -15.20
Space-group type: Cm (8)
M_tot (μB per formula unit): 0.000
E_form (uncorrected) (eV per atom): -1.39


YTc2W after structural relaxation, computed with PBE.

Unit cell a=7.3237 b=7.3237 c=5.9505 alpha=52.02 beta=52.02 gamma=90.00
Atoms (fractional coordinates):
Y  0.5000  0.5000  0.0000
Y  0.2500  0.7500  0.5000
Tc  0.6720  0.1250  0.2500
Tc  0.0780  0.6250  0.2500
Tc  0.3750  0.3280  0.7500
Tc  0.8750  0.9220  0.7500
W  0.0000  0.0000  0.0000
W  0.7500  0.2500  0.5000

Uncorrected energy (eV per cell): -75.32
Space-group type: I-42d (122)
M_tot (μB per formula unit): 0.000
Calculated formation energy (eV/atom): 0.622


Sm3PuSi4 after structural relaxation, computed with PBE.

Unit cell a=4.0809 b=6.3527 c=8.7111 alpha=111.39 beta=103.55 gamma=90.00
Last column: magnetic moment on the atom in μB.
Atoms (fractional coordinates):
Sm  0.0000  0.5000  0.0000  0.04
Sm  0.1921  0.1922  0.3843  0.03
Sm  0.8079  0.8078  0.6157  0.03
Pu  0.5000  0.0000  0.0000  5.36
Si  0.3698  0.5538  0.7396  -0.01
Si  0.6302  0.4462  0.2604  -0.01
Si  0.6302  0.8143  0.2604  -0.01
Si  0.3698  0.1857  0.7396  -0.01

Uncorrected energy (eV per cell): -53.73
Space-group type: Immm (71)
M_tot (μB per formula unit): 6.059
E_form (uncorrected) (eV per atom): -0.44


Ho2NpIr9 after structural relaxation, computed with PBE.

Unit cell a=5.2925 b=5.2925 c=9.2848 alpha=73.44 beta=73.44 gamma=60.00
Last column: magnetic moment on the atom in μB.
Atoms (fractional coordinates):
Ho  0.8602  0.8602  0.4195  0.04
Ho  0.1398  0.1398  0.5805  0.04
Np  0.0000  0.0000  0.0000  3.42
Ir  0.6667  0.6667  0.0000  -0.23
Ir  0.3333  0.3333  0.0000  -0.23
Ir  0.5000  0.5000  0.5000  -0.06
Ir  0.4175  0.4175  0.2473  -0.06
Ir  0.9176  0.4175  0.2473  -0.06
Ir  0.4175  0.9176  0.2473  -0.06
Ir  0.5825  0.5825  0.7527  -0.06
Ir  0.5825  0.0824  0.7527  -0.06
Ir  0.0824  0.5825  0.7527  -0.06

Uncorrected energy (eV per cell): -107.81
Space-group type: R-3m (166)
M_tot (μB per formula unit): 2.795
Calculated formation energy (eV/atom): -0.497


VCr2In after structural relaxation, computed with PBE.

Unit cell a=4.4252 b=4.4252 c=4.4252 alpha=60.00 beta=60.00 gamma=60.00
Last column: magnetic moment on the atom in μB.
Atoms (fractional coordinates):
Cr  0.2500  0.2500  0.2500  2.50
Cr  0.7500  0.7500  0.7500  2.50
In  0.5000  0.5000  0.5000  -0.02
V  0.0000  0.0000  0.0000  -1.46

Energy above the most stable polymorph in this dataset (meV per atom): 0.0
Uncorrected energy (eV per cell): -30.05
Space-group type: Fm-3m (225)
M_tot (μB per formula unit): 3.747
Calculated formation energy (eV/atom): 0.262


LiLu2Pt after structural relaxation, computed with PBE.

Unit cell a=4.8683 b=4.8683 c=4.8683 alpha=60.00 beta=60.00 gamma=60.00
Atoms (fractional coordinates):
Lu  0.0000  0.0000  0.0000
Lu  0.5000  0.5000  0.5000
Pt  0.7500  0.7500  0.7500
Li  0.2500  0.2500  0.2500

Uncorrected energy (eV per cell): -19.99
Space-group type: Fm-3m (225)
M_tot (μB per formula unit): 0.000
Calculated formation energy (eV/atom): -0.749